PBE Ca2YAl9, relaxed; space group = R-3m; mass density = 2.82 g/cm3; Fermi-level density of states = 7.02 states/eV per cell; magnetization = 0.00 μB per formula unit; final energy = -47.43 eV for the cell shown
1.0
5.358 0.000 1.595
2.442 4.769 1.595
0.085 0.052 9.512
Al Y Ca
9 1 2
direct
0.500 0.500 0.500
0.665 0.665 0.005
0.077 0.584 0.755
0.335 0.335 0.995
0.584 0.584 0.755
0.416 0.416 0.245
0.923 0.416 0.245
0.584 0.077 0.755
0.416 0.923 0.245
0.000 0.000 0.000
0.142 0.142 0.574
0.858 0.858 0.426